[1]
A plane-wave DFT calculation with PBE was carried out for a geometry-optimized Al2TcOs structure.

Properties
- calculated total energy (eV per atom) = -7.59
- mass density (g/cm3) = 9.95
- spin magnetization (μB/f.u.) = 0.000
- crystal system = orthorhombic

a = 5.193 Å, b = 5.193 Å, c = 5.193 Å
α = 145.88°, β = 132.81°, γ = 59.50°
Fractional positions:
Os: 0.496 0.496 0.000
Al: 0.011 0.011 0.000
Al: 0.737 0.237 0.500
Tc: 0.256 0.756 0.500

***

[2]
A plane-wave DFT calculation with PBE was carried out for a geometry-optimized Be2CuMo structure.

Properties
- calculated total energy (eV per atom) = -5.48
- mass density (g/cm3) = 6.48
- spin magnetization (μB/f.u.) = 0.004
- crystal system = monoclinic

a = 4.669 Å, b = 4.669 Å, c = 4.316 Å
α = 71.92°, β = 71.92°, γ = 30.69°
Fractional positions:
Be: 0.978 0.978 0.961
Cu: 0.519 0.519 0.435
Mo: 0.733 0.733 0.815
Be: 0.270 0.270 0.289

***

[3]
A plane-wave DFT calculation with PBE was carried out for a geometry-optimized ZrAgIr structure.

Properties
- calculated total energy (eV per atom) = -6.97
- mass density (g/cm3) = 12.13
- spin magnetization (μB/f.u.) = 0.000
- crystal system = trigonal

a = 4.590 Å, b = 4.590 Å, c = 2.937 Å
α = 90.00°, β = 90.00°, γ = 120.00°
Fractional positions:
Ag: 0.000 0.000 0.017
Zr: 0.333 0.667 0.633
Ir: 0.667 0.333 0.350

***

[4]
A plane-wave DFT calculation with PBE was carried out for a geometry-optimized DyPaZn4 structure.

Properties
- calculated total energy (eV per atom) = -3.36
- mass density (g/cm3) = 9.55
- spin magnetization (μB/f.u.) = 0.000
- crystal system = cubic

a = 5.441 Å, b = 5.441 Å, c = 5.441 Å
α = 60.00°, β = 60.00°, γ = 60.00°
Fractional positions:
Pa: 0.250 0.250 0.250
Zn: 0.625 0.625 0.625
Dy: 0.000 0.000 0.000
Zn: 0.125 0.625 0.625
Zn: 0.625 0.625 0.125
Zn: 0.625 0.125 0.625